# CrGaIr

Crystalline CrGaIr at its relaxed geometry (GGA-PBE, Alexandria via LeMat-Bulk).

The calculation puts the calculated formation energy at -121 meV/atom. The value obtained for the density of states at the Fermi level is 2.40 states/eV/f.u.

Cell: 4.4479 4.4889 5.2877 Å, 100.77 100.95 118.49°
With the nearest neighbours (Å) after each atom.
Space group P1 (No. 1)
Asymmetric unit:
Cr 0.0000 0.0000 0.0000 (multiplicity 1)  1 Cr 2.32, 2 Ir 2.53-2.59
Cr 0.4598 0.6546 0.6412 (multiplicity 1)  1 Cr 2.32, 1 Ga 2.60
Ga 0.3708 0.6992 0.1315 (multiplicity 1)  1 Ga 2.55, 5 Ir 2.61-2.83, 5 Cr 2.62-2.76
Ga 0.7622 0.2881 0.5249 (multiplicity 1)  4 Ir 2.54-2.69, 1 Ga 2.55, 3 Cr 2.60-2.76
Ir 0.0569 0.9063 0.4716 (multiplicity 1)  5 Ga 2.54-2.83, 5 Cr 2.59-2.82
Ir 0.6367 0.3160 0.9798 (multiplicity 1)  5 Cr 2.53-2.81, 4 Ga 2.56-2.79

=====

# TaPtI2

Crystalline TaPtI2 at its relaxed geometry (GGA-PBE, Alexandria via LeMat-Bulk).

The value obtained for the density of states at the Fermi level is 2.41 states/eV/f.u.

Cell: 6.9986 6.9986 6.9986 Å, 90.00 90.00 90.00°
With the nearest neighbours (Å) after each atom.
Space group Fm-3m (No. 225)
Asymmetric unit:
Ta 0.0000 0.0000 0.0000 (multiplicity 4)  8 I 3.03
Pt 0.0000 0.0000 0.5000 (multiplicity 4)  8 I 3.03
I 0.2500 0.2500 0.2500 (multiplicity 8)  4 Ta 3.03, 4 Pt 3.03

=====

# Dy8Sb4Te3

Crystalline Dy8Sb4Te3 at its relaxed geometry (GGA-PBE, Alexandria via LeMat-Bulk).

The value obtained for the density of states at the Fermi level is 7.16 states/eV/f.u.

Cell: 12.2414 12.2612 8.6447 Å, 90.00 134.79 90.00°
With the nearest neighbours (Å) after each atom.
Space group C2/m (No. 12)
Asymmetric unit:
Dy 0.0000 0.2463 0.0000 (multiplicity 4)  3 Sb 3.02-3.07, 3 Te 3.06-3.11
Dy 0.0000 0.2499 0.5000 (multiplicity 4)  3 Sb 3.06-3.07, 2 Te 3.07
Dy 0.2450 0.0000 0.4954 (multiplicity 4)  4 Sb 3.04-3.09, 1 Te 3.10
Dy 0.2493 0.0000 0.0039 (multiplicity 4)  2 Sb 3.03-3.04, 3 Te 3.07-3.09
Sb 0.0000 0.0000 0.0000 (multiplicity 2)  6 Dy 3.02-3.04
Sb 0.0000 0.5000 0.5000 (multiplicity 2)  6 Dy 3.04-3.09
Sb 0.2500 0.2500 0.5000 (multiplicity 4)  6 Dy 3.06-3.07
Te 0.0000 0.5000 0.0000 (multiplicity 2)  6 Dy 3.09-3.11
Te 0.2500 0.2500 0.0000 (multiplicity 4)  6 Dy 3.06-3.07

=====

# SrCoBr

Crystalline SrCoBr at its relaxed geometry (GGA-PBE, Alexandria via LeMat-Bulk).

The value obtained for the density of states at the Fermi level is 0.66 states/eV/f.u.

Cell: 4.0645 4.0649 12.5181 Å, 80.86 89.83 60.01°
With the nearest neighbours (Å) after each atom.
Space group P1 (No. 1)
Asymmetric unit:
Sr 0.0000 0.0000 0.0000 (multiplicity 1)  3 Br 3.00, 6 Co 3.31
Sr 0.1189 0.7551 0.3795 (multiplicity 1)  3 Br 3.00, 6 Co 3.31
Co 0.3933 0.2116 0.1897 (multiplicity 1)  3 Co 2.35
Co 0.7266 0.5449 0.1898 (multiplicity 1)  3 Co 2.35
Br 0.6192 0.7644 0.8484 (multiplicity 1)  3 Sr 3.00
Br 0.8331 0.3238 0.5312 (multiplicity 1)  3 Sr 3.00

=====

# AcPrBiS

Crystalline AcPrBiS at its relaxed geometry (GGA-PBE, Alexandria via LeMat-Bulk).

The value obtained for the density of states at the Fermi level is 2.64 states/eV/f.u.

Cell: 5.1342 5.1342 10.5393 Å, 90.00 90.00 90.00°
With the nearest neighbours (Å) after each atom.
Space group P4/nmm (No. 129, origin choice 2)
Asymmetric unit:
Ac 0.2500 0.2500 0.1365 (multiplicity 2)  4 S 2.94
Pr 0.2500 0.7500 0.5000 (multiplicity 2)  4 Bi 3.28, 4 Pr 3.63
Bi 0.2500 0.2500 0.6941 (multiplicity 2)  4 Pr 3.28
S 0.2500 0.7500 0.0000 (multiplicity 2)  4 Ac 2.94

=====

# LiYNi2

Crystalline LiYNi2 at its relaxed geometry (GGA-PBE, Alexandria via LeMat-Bulk).

The calculation puts the calculated formation energy at -81 meV/atom. The value obtained for the density of states at the Fermi level is 2.51 states/eV/f.u.

Cell: 6.2675 6.2675 6.2675 Å, 90.00 90.00 90.00°
With the nearest neighbours (Å) after each atom.
Space group F-43m (No. 216)
Asymmetric unit:
Li 0.0000 0.0000 0.0000 (multiplicity 4)  4 Ni 2.71, 4 Y 2.71
Y 0.2500 0.2500 0.7500 (multiplicity 4)  4 Li 2.71, 4 Ni 2.71
Ni 0.0000 0.0000 0.5000 (multiplicity 4)  4 Ni 2.71, 4 Y 2.71
Ni 0.2500 0.2500 0.2500 (multiplicity 4)  4 Li 2.71, 4 Ni 2.71

=====

Number 1: total magnetization 0.1 μB per formula unit, mass density 12.1 g/cm3, total energy -7.291 eV/atom. Number 2: total magnetization 0.0 μB per formula unit, mass density 12.2 g/cm3, total energy -4.451 eV/atom. Number 3: total magnetization 0.0 μB per formula unit, mass density 7.8 g/cm3, total energy -5.272 eV/atom. Number 4: total magnetization 1.0 μB per formula unit, mass density 4.3 g/cm3, total energy -4.287 eV/atom. Number 5: total magnetization 0.2 μB per formula unit, mass density 7.3 g/cm3, total energy -5.451 eV/atom. Number 6: total magnetization 0.0 μB per formula unit, mass density 5.8 g/cm3, total energy -5.066 eV/atom.